Entry 1:
VASP calculation (PBE) on NaPmAgBr6 after structural relaxation.

Summary:
V   33.815 A^3/atom
N(E_F)   0.592 states/eV/atom
Magnetic moment   0.94 μB per formula unit
Formation energy (no corrections)   -1184 meV per atom
Space group   No. 102
E   -29.6 eV per formula unit

Cell: 6.9467 6.9467 12.6133 Å, 90.00 90.00 90.00°
Closest atoms and distances in Å follow each position.
Positions (direct):
Br (0.8151, 0.1849, 0.4907)  1 Ag 2.70, 1 Pm 2.93
Br (0.8028, 0.1972, 0.1760)  1 Ag 2.76, 1 Na 2.94, 1 Pm 2.98
Na (0.0000, 0.0000, 0.0005)  6 Br 2.92-3.10
Br (0.7989, 0.2011, 0.8304)  1 Pm 2.80, 1 Na 2.92, 1 Ag 2.94
Br (0.6849, 0.6849, 0.9907)  1 Ag 2.70, 1 Pm 2.93
Na (0.5000, 0.5000, 0.5005)  6 Br 2.92-3.10
Br (0.3151, 0.3151, 0.9907)  1 Ag 2.70, 1 Pm 2.93
Br (0.6972, 0.6972, 0.6760)  1 Ag 2.76, 1 Na 2.94, 1 Pm 2.98
Pm (0.0000, 0.0000, 0.6734)  6 Br 2.80-2.98
Br (0.1972, 0.8028, 0.1760)  1 Ag 2.76, 1 Na 2.94, 1 Pm 2.98
Br (0.7011, 0.7011, 0.3304)  1 Pm 2.80, 1 Na 2.92, 1 Ag 2.94
Br (0.3028, 0.3028, 0.6760)  1 Ag 2.76, 1 Na 2.94, 1 Pm 2.98
Ag (0.0000, 0.0000, 0.3319)  6 Br 2.70-2.94
Pm (0.5000, 0.5000, 0.1734)  6 Br 2.80-2.98
Br (0.2989, 0.2989, 0.3304)  1 Pm 2.80, 1 Na 2.92, 1 Ag 2.94
Br (0.1849, 0.8151, 0.4907)  1 Ag 2.70, 1 Pm 2.93
Ag (0.5000, 0.5000, 0.8319)  6 Br 2.70-2.94
Br (0.2011, 0.7989, 0.8304)  1 Pm 2.80, 1 Na 2.92, 1 Ag 2.94


Entry 2:
VASP calculation (PBE) on Na2PmAgBr6 after structural relaxation.

Summary:
V   31.876 A^3/atom
N(E_F)   0.000 states/eV/atom
Magnetic moment   0.00 μB per formula unit
Formation energy (no corrections)   -1427 meV per atom
Space group   No. 1
E   -34.5 eV per formula unit

Cell: 7.4288 7.4335 7.9321 Å, 62.00 62.06 59.94°
Closest atoms and distances in Å follow each position.
Positions (direct):
Br (0.5942, 0.2111, 0.2556)  1 Pm 2.87, 2 Na 2.97-3.04, 1 Ag 3.07
Br (0.9392, 0.5941, 0.2551)  1 Pm 2.87, 2 Na 2.96-3.04, 1 Ag 3.09
Br (0.4260, 0.7147, 0.7534)  1 Ag 2.83, 1 Pm 2.92, 2 Na 2.98-3.10
Br (0.1053, 0.4264, 0.7536)  1 Ag 2.83, 1 Pm 2.92, 2 Na 2.98-3.10
Na (0.0143, 0.0140, 0.9582)  6 Br 2.98-3.04
Ag (0.8119, 0.8129, 0.5629)  6 Br 2.83-3.09
Pm (0.3232, 0.3232, 0.0303)  6 Br 2.87-2.92
Br (0.2116, 0.9391, 0.2551)  1 Pm 2.87, 2 Na 2.96-3.03, 1 Ag 3.08
Na (0.5212, 0.5206, 0.4372)  6 Br 2.96-3.10
Br (0.7149, 0.1055, 0.7538)  1 Ag 2.84, 1 Pm 2.92, 2 Na 2.98-3.09


Entry 3:
VASP calculation (PBE) on NaPrAg2Br6 after structural relaxation.

Summary:
V   32.996 A^3/atom
N(E_F)   0.000 states/eV/atom
Magnetic moment   0.00 μB per formula unit
Formation energy (no corrections)   -1173 meV per atom
Space group   No. 1
E   -33.6 eV per formula unit

Cell: 7.4470 7.3628 8.2710 Å, 89.91 117.36 120.66°
Closest atoms and distances in Å follow each position.
Positions (direct):
Br (0.8256, 0.7325, 0.2134)  1 Ag 2.81, 1 Pr 2.88, 1 Na 2.96
Ag (0.6277, 0.8078, 0.4030)  5 Br 2.78-3.07
Br (0.1600, 0.4146, 0.2351)  1 Ag 2.78, 1 Pr 2.90, 1 Na 2.98
Pr (0.9788, 0.4928, 0.4521)  6 Br 2.88-3.01
Na (0.0058, 0.0055, 0.9896)  6 Br 2.96-3.09
Br (0.4859, 0.8894, 0.7194)  1 Ag 2.65, 1 Pr 2.96
Br (0.4951, 0.0799, 0.2242)  1 Ag 2.80, 1 Pr 2.89, 1 Na 2.97
Br (0.8287, 0.6015, 0.6972)  1 Ag 2.66
Ag (0.4507, 0.2284, 0.6700)  3 Br 2.65-2.66
Br (0.1073, 0.2253, 0.6985)  1 Ag 2.66


Entry 4:
VASP calculation (PBE) on NaPrAgBr5 after structural relaxation.

Summary:
V   36.405 A^3/atom
N(E_F)   0.000 states/eV/atom
Magnetic moment   0.00 μB per formula unit
Formation energy (no corrections)   -1382 meV per atom
Space group   No. 15
E   -28.4 eV per formula unit

Cell: 8.0650 8.0650 10.7351 Å, 100.67 100.67 116.89°
Closest atoms and distances in Å follow each position.
Positions (direct):
Br (0.2525, 0.4215, 0.5508)  1 Ag 2.77, 1 Pr 2.94, 1 Na 2.97
Br (0.4215, 0.2525, 0.0508)  1 Ag 2.77, 1 Pr 2.94, 1 Na 2.97
Ag (0.7159, 0.2841, 0.2500)  4 Br 2.71-2.77
Pr (0.0000, 0.0000, 0.5000)  6 Br 2.92-2.94
Pr (0.0000, 0.0000, 0.0000)  6 Br 2.92-2.94
Br (0.0074, 0.3517, 0.1399)  1 Ag 2.71, 1 Na 2.91, 1 Pr 2.92
Na (0.4312, 0.5688, 0.2500)  4 Br 2.91-2.97
Ag (0.2841, 0.7159, 0.7500)  4 Br 2.71-2.77
Br (0.9120, 0.0880, 0.7500)  2 Pr 2.94
Br (0.5785, 0.7475, 0.9492)  1 Ag 2.77, 1 Pr 2.94, 1 Na 2.97
Br (0.6483, 0.9926, 0.3601)  1 Ag 2.71, 1 Na 2.91, 1 Pr 2.92
Br (0.9926, 0.6483, 0.8601)  1 Ag 2.71, 1 Na 2.91, 1 Pr 2.92
Br (0.7475, 0.5785, 0.4492)  1 Ag 2.77, 1 Pr 2.94, 1 Na 2.97
Br (0.0880, 0.9120, 0.2500)  2 Pr 2.94
Br (0.3517, 0.0074, 0.6399)  1 Ag 2.71, 1 Na 2.91, 1 Pr 2.92
Na (0.5688, 0.4312, 0.7500)  4 Br 2.91-2.97


Entry 5:
VASP calculation (PBE) on Na2PrAgBr6 after structural relaxation.

Summary:
V   32.348 A^3/atom
N(E_F)   0.000 states/eV/atom
Magnetic moment   0.00 μB per formula unit
Formation energy (no corrections)   -1424 meV per atom
Space group   No. 1
E   -34.5 eV per formula unit

Cell: 7.4656 7.4707 7.9694 Å, 61.99 62.08 59.95°
Closest atoms and distances in Å follow each position.
Positions (direct):
Br (0.1048, 0.4264, 0.7515)  1 Ag 2.84, 1 Pr 2.97, 2 Na 2.99-3.10
Br (0.9336, 0.5992, 0.2554)  1 Pr 2.91, 2 Na 2.97-3.04, 1 Ag 3.09
Pr (0.3222, 0.3222, 0.0334)  6 Br 2.91-2.97
Ag (0.8116, 0.8126, 0.5638)  6 Br 2.84-3.09
Br (0.7173, 0.1051, 0.7519)  1 Ag 2.84, 1 Pr 2.97, 2 Na 2.98-3.10
Na (0.5204, 0.5199, 0.4395)  6 Br 2.96-3.10
Br (0.5995, 0.2111, 0.2560)  1 Pr 2.91, 2 Na 2.97-3.04, 1 Ag 3.07
Br (0.4259, 0.7173, 0.7516)  1 Ag 2.84, 1 Pr 2.97, 2 Na 2.98-3.10
Na (0.0147, 0.0145, 0.9565)  6 Br 2.98-3.04
Br (0.2116, 0.9334, 0.2555)  1 Pr 2.91, 2 Na 2.96-3.04, 1 Ag 3.08


Entry 6:
VASP calculation (PBE) on NaAg2PtBr6 after structural relaxation.

Summary:
V   28.445 A^3/atom
N(E_F)   0.053 states/eV/atom
Magnetic moment   1.03 μB per formula unit
Formation energy (no corrections)   -477 meV per atom
Space group   No. 1
E   -27.9 eV per formula unit

Cell: 7.4441 7.2001 8.0151 Å, 58.14 56.94 56.68°
Closest atoms and distances in Å follow each position.
Positions (direct):
Br (0.1331, 0.4200, 0.7534)  2 Ag 2.74-2.94, 1 Pt 2.79, 1 Na 2.89
Br (0.2440, 0.9524, 0.2469)  1 Pt 2.51, 1 Ag 2.80
Br (0.9534, 0.5486, 0.2521)  1 Pt 2.51, 1 Ag 2.75
Br (0.3847, 0.7084, 0.7864)  1 Pt 2.51, 1 Ag 2.75
Ag (0.5465, 0.5012, 0.3944)  4 Br 2.72-2.94
Na (0.8007, 0.8243, 0.5660)  5 Br 2.89-3.15
Br (0.5759, 0.2112, 0.2531)  2 Ag 2.72-2.77, 1 Pt 2.86, 1 Na 2.99
Ag (0.0003, 0.0426, 0.9601)  4 Br 2.74-2.91
Br (0.7006, 0.1259, 0.7818)  1 Pt 2.50
Pt (0.3224, 0.3270, 0.0210)  5 Br 2.50-2.79


Copy entry 6 word for word.
VASP calculation (PBE) on NaAg2PtBr6 after structural relaxation.

Summary:
V   28.445 A^3/atom
N(E_F)   0.053 states/eV/atom
Magnetic moment   1.03 μB per formula unit
Formation energy (no corrections)   -477 meV per atom
Space group   No. 1
E   -27.9 eV per formula unit

Cell: 7.4441 7.2001 8.0151 Å, 58.14 56.94 56.68°
Closest atoms and distances in Å follow each position.
Positions (direct):
Br (0.1331, 0.4200, 0.7534)  2 Ag 2.74-2.94, 1 Pt 2.79, 1 Na 2.89
Br (0.2440, 0.9524, 0.2469)  1 Pt 2.51, 1 Ag 2.80
Br (0.9534, 0.5486, 0.2521)  1 Pt 2.51, 1 Ag 2.75
Br (0.3847, 0.7084, 0.7864)  1 Pt 2.51, 1 Ag 2.75
Ag (0.5465, 0.5012, 0.3944)  4 Br 2.72-2.94
Na (0.8007, 0.8243, 0.5660)  5 Br 2.89-3.15
Br (0.5759, 0.2112, 0.2531)  2 Ag 2.72-2.77, 1 Pt 2.86, 1 Na 2.99
Ag (0.0003, 0.0426, 0.9601)  4 Br 2.74-2.91
Br (0.7006, 0.1259, 0.7818)  1 Pt 2.50
Pt (0.3224, 0.3270, 0.0210)  5 Br 2.50-2.79